A plane-wave DFT calculation with PBE was carried out for a geometry-optimized Te2H2F structure.

Calculated values
- DOS(E_F) (states/eV/f.u.) = 1.3
- total DFT energy (no corrections) (eV/atom) = -2.802

a b c (Å): 3.7861 3.7861 5.8932
angles (deg): 71.26 71.26 90.00
With the nearest neighbours (Å) after each atom.
Element x y z (fractional)
H1 0.7500 0.2500 0.5000  4 Te 2.25
F1 0.0000 0.0000 0.0000  8 Te 3.02, 8 H 3.24
H2 0.2500 0.7500 0.5000  4 Te 2.25
Te1 0.6335 0.6335 0.7331  4 H 2.25
Te2 0.3665 0.3665 0.2669  4 H 2.25



A plane-wave DFT calculation with PBE was carried out for a geometry-optimized Li2CoSe2 structure.

Calculated values
- DOS(E_F) (states/eV/f.u.) = 0.9
- total DFT energy (no corrections) (eV/atom) = -3.797
- formation energy (no corrections) (eV/f.u.) = -1.1

a b c (Å): 3.5890 3.5890 7.0247
angles (deg): 75.20 75.20 90.00
With the nearest neighbours (Å) after each atom.
Element x y z (fractional)
Se1 0.6160 0.6160 0.7680  4 Li 2.51
Li1 0.2500 0.7500 0.5000  4 Se 2.51, 4 Li 2.54
Li2 0.7500 0.2500 0.5000  4 Se 2.51, 4 Li 2.54
Co1 0.0000 0.0000 0.0000  8 Se 2.96
Se2 0.3840 0.3840 0.2320  4 Li 2.51



A plane-wave DFT calculation with PBE was carried out for a geometry-optimized CePuMn2 structure.

Calculated values
- DOS(E_F) (states/eV/f.u.) = 9.1
- energy of formation from the pure elements (meV per atom) = 125.2
- total DFT energy (no corrections) (eV/atom) = -9.526

a b c (Å): 3.3706 3.3706 6.8907
angles (deg): 90.00 90.00 90.00
With the nearest neighbours (Å) after each atom.
Element x y z (fractional)
Pu1 0.5000 0.5000 0.0000  8 Mn 2.77
Ce1 0.5000 0.5000 0.5000  8 Mn 3.13, 4 Ce 3.37, 2 Pu 3.45
Mn1 0.0000 0.0000 0.2061  4 Pu 2.77, 1 Mn 2.84
Mn2 0.0000 0.0000 0.7939  4 Pu 2.77, 1 Mn 2.84



A plane-wave DFT calculation with PBE was carried out for a geometry-optimized CeTa2TlO7 structure.

Calculated values
- DOS(E_F) (states/eV/f.u.) = 7.0
- total DFT energy (no corrections) (eV/atom) = -8.763
- formation energy (no corrections) (eV/f.u.) = -29.7

a b c (Å): 3.8976 3.8976 11.2901
angles (deg): 90.00 90.00 90.00
With the nearest neighbours (Å) after each atom.
Element x y z (fractional)
Ta1 0.5000 0.5000 0.7993  5 O 1.81-2.00
O1 0.5000 0.5000 0.0000  2 Ta 2.27
O2 0.5000 0.5000 0.6390  1 Ta 1.81
O3 0.0000 0.5000 0.1611  2 Ta 2.00
O4 0.0000 0.5000 0.8389  2 Ta 2.00
Ta2 0.5000 0.5000 0.2007  5 O 1.81-2.00
Ce1 0.0000 0.0000 0.0000  12 O 2.67-2.76
O5 0.5000 0.0000 0.1611  2 Ta 2.00
Tl1 0.0000 0.0000 0.5000  8 O 3.17
O6 0.5000 0.0000 0.8389  2 Ta 2.00
O7 0.5000 0.5000 0.3610  1 Ta 1.81



A plane-wave DFT calculation with PBE was carried out for a geometry-optimized SmZn2Ga4Cu structure.

Calculated values
- DOS(E_F) (states/eV/f.u.) = 2.6
- energy of formation from the pure elements (meV per atom) = -216.5
- total DFT energy (no corrections) (eV/atom) = -3.150

a b c (Å): 4.4156 4.4156 8.9963
angles (deg): 75.79 75.79 60.00
With the nearest neighbours (Å) after each atom.
Element x y z (fractional)
Zn1 0.2579 0.2579 0.2262  3 Ga 2.56
Sm1 0.0000 0.0000 0.0000  6 Ga 3.09, 6 Zn 3.21
Ga1 0.4007 0.4007 0.7979  3 Zn 2.56, 1 Cu 2.57
Ga2 0.8644 0.8644 0.4067  3 Cu 2.67, 3 Zn 2.99
Cu1 0.5000 0.5000 0.5000  8 Ga 2.57-2.67
Zn2 0.7421 0.7421 0.7738  3 Ga 2.56
Ga3 0.1356 0.1356 0.5933  3 Cu 2.67, 3 Zn 2.99
Ga4 0.5993 0.5993 0.2021  3 Zn 2.56, 1 Cu 2.57



A plane-wave DFT calculation with PBE was carried out for a geometry-optimized Ni2AgMo structure.

Calculated values
- DOS(E_F) (states/eV/f.u.) = 3.1
- energy of formation from the pure elements (meV per atom) = 256.2
- total DFT energy (no corrections) (eV/atom) = -6.055

a b c (Å): 2.6847 3.3307 6.2603
angles (deg): 90.00 90.00 90.00
With the nearest neighbours (Å) after each atom.
Element x y z (fractional)
Ag1 0.0000 0.0000 0.4732  2 Ag 2.68, 5 Ni 2.70-2.86, 4 Mo 2.96
Ni1 0.5000 0.5000 0.2110  6 Ni 2.46-2.68, 1 Mo 2.58, 4 Ag 2.70
Ni2 0.0000 0.0000 0.0166  6 Ni 2.46-2.68, 4 Mo 2.53
Mo1 0.5000 0.5000 0.7993  5 Ni 2.53-2.58, 2 Mo 2.68



A plane-wave DFT calculation with PBE was carried out for a geometry-optimized CaCdRu2 structure.

Calculated values
- DOS(E_F) (states/eV/f.u.) = 5.2
- energy of formation from the pure elements (meV per atom) = 392.7
- total DFT energy (no corrections) (eV/atom) = -4.974

a b c (Å): 4.6859 4.6859 4.6859
angles (deg): 60.00 60.00 60.00
With the nearest neighbours (Å) after each atom.
Element x y z (fractional)
Cd1 0.7500 0.7500 0.7500  4 Ca 2.87, 4 Ru 2.87
Ca1 0.5000 0.5000 0.5000  4 Ru 2.87, 4 Cd 2.87
Ru1 0.2500 0.2500 0.2500  4 Ca 2.87, 4 Ru 2.87
Ru2 0.0000 0.0000 0.0000  4 Cd 2.87, 4 Ru 2.87



A plane-wave DFT calculation with PBE was carried out for a geometry-optimized Ni2CS structure.

Calculated values
- DOS(E_F) (states/eV/f.u.) = 3.2
- total DFT energy (no corrections) (eV/atom) = -6.112
- formation energy (no corrections) (eV/f.u.) = 0.5

a b c (Å): 3.7401 5.2766 6.1420
angles (deg): 69.28 73.36 84.05
With the nearest neighbours (Å) after each atom.
Element x y z (fractional)
Ni1 0.8149 0.0698 0.8329  1 C 1.93
Ni2 0.5550 0.7415 0.4748  3 C 1.92-2.15
S1 0.6473 0.1517 0.1856  5 Ni 2.21-2.26
Ni3 0.1851 0.9302 0.1671  1 C 1.93
C1 0.1218 0.6032 0.4452  1 C 1.34
S2 0.3527 0.8483 0.8144  5 Ni 2.21-2.26
C2 0.8782 0.3968 0.5548  1 C 1.34
Ni4 0.4450 0.2585 0.5252  3 C 1.92-2.15



Question: Which formula does entry 1 have?
Answer: Te2H2F



Question: The highest DOS(E_F) belongs to which entry?
Answer: CePuMn2



Question: Among the records above, which one has the highest DOS(E_F)?
Answer: CePuMn2